Entry 1:
A plane-wave DFT calculation with GGA-PBE was carried out for an optimized crystal structure of Pa2Co5Ge3.

Cell: 5.5285 7.9225 7.9225 Å, 84.82 69.58 69.58°
Closest atoms and distances in Å follow each position.
Fractional positions:
Ge: 0.2500 0.0000 0.0000  6 Co 2.35-2.54
Ge: 0.6352 0.4792 0.2504  5 Co 2.31-2.33
Ge: 0.3648 0.5208 0.7496  5 Co 2.31-2.33
Ge: 0.7500 0.0000 0.0000  6 Co 2.35-2.54
Ge: 0.8648 0.7496 0.5208  5 Co 2.31-2.33
Ge: 0.1352 0.2504 0.4792  5 Co 2.31-2.33
Co: 0.8884 0.9432 0.2801  3 Ge 2.33-2.54, 2 Co 2.57
Co: 0.5219 0.2281 0.2281  3 Ge 2.32-2.35, 2 Co 2.57
Co: 0.9781 0.7719 0.7719  3 Ge 2.32-2.35, 2 Co 2.57
Co: 0.4781 0.7719 0.7719  3 Ge 2.32-2.35, 2 Co 2.57
Co: 0.2500 0.5000 0.5000  4 Ge 2.31
Co: 0.1116 0.0568 0.7199  3 Ge 2.33-2.54, 2 Co 2.57
Co: 0.3884 0.2801 0.9432  3 Ge 2.33-2.54, 2 Co 2.57
Co: 0.6116 0.7199 0.0568  3 Ge 2.33-2.54, 2 Co 2.57
Co: 0.7500 0.5000 0.5000  4 Ge 2.31
Co: 0.0219 0.2281 0.2281  3 Ge 2.32-2.35, 2 Co 2.57
Pa: 0.3737 0.8587 0.3939  4 Co 2.67-2.96, 2 Ge 2.95-2.98
Pa: 0.1263 0.6061 0.1413  4 Co 2.67-2.96, 2 Ge 2.95-2.98
Pa: 0.6263 0.1413 0.6061  4 Co 2.67-2.96, 2 Ge 2.95-2.98
Pa: 0.8737 0.3939 0.8587  4 Co 2.67-2.96, 2 Ge 2.95-2.98

Calculated values
Its total energy is -7.2642 eV/atom. The space group is Ibam (72). For the density of states at the Fermi level, the calculation gives 17.29 states/eV per cell. For the energy of formation, the calculation gives -427 meV/atom. The energy above the most stable polymorph in this dataset comes out at 0.0 meV/atom. The size of the total moment is 0.00 μB per formula unit.


Entry 2:
A plane-wave DFT calculation with GGA-PBE was carried out for an optimized crystal structure of PaCoGe.

Cell: 4.3428 4.3428 4.3428 Å, 60.00 60.00 60.00°
Closest atoms and distances in Å follow each position.
Fractional positions:
Ge: 0.5000 0.5000 0.5000  4 Co 2.66
Co: 0.2500 0.2500 0.2500  4 Ge 2.66, 4 Pa 2.66
Pa: 0.0000 0.0000 0.0000  4 Co 2.66

Calculated values
Its total energy is -7.6281 eV/atom. The space group is F-43m (216). For the density of states at the Fermi level, the calculation gives 1.26 states/eV per cell. For the energy of formation, the calculation gives -555 meV/atom. The size of the total moment is 0.00 μB per formula unit.


Entry 3:
A plane-wave DFT calculation with GGA-PBE was carried out for an optimized crystal structure of Pa3Co3Ge2.

Cell: 4.1130 5.6935 12.9049 Å, 90.00 90.00 111.17°
Closest atoms and distances in Å follow each position.
Fractional positions:
Pa: 0.9305 0.8611 0.3931  6 Co 2.87-2.92, 4 Ge 3.04-3.08, 1 Pa 3.13
Pa: 0.3679 0.7359 0.7500  2 Co 2.60
Pa: 0.9305 0.8611 0.1069  6 Co 2.87-2.92, 4 Ge 3.04-3.08, 1 Pa 3.13
Pa: 0.0695 0.1389 0.6069  6 Co 2.87-2.92, 4 Ge 3.04-3.08, 1 Pa 3.13
Pa: 0.6321 0.2641 0.2500  2 Co 2.60
Pa: 0.0695 0.1389 0.8931  6 Co 2.87-2.92, 4 Ge 3.04-3.08, 1 Pa 3.13
Ge: 0.2205 0.4410 0.0952  4 Co 2.43-2.58
Ge: 0.7795 0.5590 0.5952  4 Co 2.43-2.58
Ge: 0.7795 0.5590 0.9048  4 Co 2.43-2.58
Ge: 0.2205 0.4410 0.4048  4 Co 2.43-2.58
Co: 0.3882 0.7763 0.5495  3 Ge 2.43-2.58, 1 Pa 2.60, 1 Co 2.70
Co: 0.6118 0.2237 0.0495  3 Ge 2.43-2.58, 1 Pa 2.60, 1 Co 2.70
Co: 0.3882 0.7763 0.9505  3 Ge 2.43-2.58, 1 Pa 2.60, 1 Co 2.70
Co: 0.6118 0.2237 0.4505  3 Ge 2.43-2.58, 1 Pa 2.60, 1 Co 2.70
Co: 0.6418 0.2836 0.7500  2 Ge 2.48
Co: 0.3582 0.7164 0.2500  2 Ge 2.48

Calculated values
Its total energy is -7.8664 eV/atom. The space group is Cmcm (63). For the density of states at the Fermi level, the calculation gives 15.64 states/eV per cell. For the energy of formation, the calculation gives -486 meV/atom. The energy above the most stable polymorph in this dataset comes out at 0.0 meV/atom. The size of the total moment is 0.00 μB per formula unit.


Entry 4:
A plane-wave DFT calculation with GGA-PBE was carried out for an optimized crystal structure of Pa2Co3Ge5.

Cell: 5.8706 8.0740 8.0740 Å, 73.89 68.68 68.68°
Closest atoms and distances in Å follow each position.
Fractional positions:
Ge: 0.7500 0.5000 0.5000  4 Co 2.45
Ge: 0.5244 0.2256 0.2256  3 Co 2.36-2.59, 2 Ge 2.61
Ge: 0.9756 0.7744 0.7744  3 Co 2.36-2.59, 2 Ge 2.61
Ge: 0.5956 0.7443 0.0645  3 Co 2.29-2.40
Ge: 0.9044 0.9355 0.2557  3 Co 2.29-2.40
Ge: 0.0244 0.2256 0.2256  3 Co 2.36-2.59, 2 Ge 2.61
Ge: 0.4756 0.7744 0.7744  3 Co 2.36-2.59, 2 Ge 2.61
Ge: 0.2500 0.5000 0.5000  4 Co 2.45
Ge: 0.4044 0.2557 0.9355  3 Co 2.29-2.40
Ge: 0.0956 0.0645 0.7443  3 Co 2.29-2.40
Pa: 0.3619 0.8692 0.4070  10 Ge 2.89-3.16, 3 Co 2.95-3.16
Pa: 0.1381 0.5930 0.1308  10 Ge 2.89-3.16, 3 Co 2.95-3.16
Pa: 0.6381 0.1308 0.5930  10 Ge 2.89-3.16, 3 Co 2.95-3.16
Pa: 0.8619 0.4070 0.8692  10 Ge 2.89-3.16, 3 Co 2.95-3.16
Co: 0.1430 0.2466 0.4674  5 Ge 2.29-2.45
Co: 0.7500 0.0000 0.0000  6 Ge 2.40-2.59
Co: 0.8570 0.7534 0.5326  5 Ge 2.29-2.45
Co: 0.2500 0.0000 0.0000  6 Ge 2.40-2.59
Co: 0.3570 0.5326 0.7534  5 Ge 2.29-2.45
Co: 0.6430 0.4674 0.2466  5 Ge 2.29-2.45

Calculated values
Its total energy is -6.8356 eV/atom. The space group is Ibam (72). For the density of states at the Fermi level, the calculation gives 13.38 states/eV per cell. For the energy of formation, the calculation gives -496 meV/atom. The energy above the most stable polymorph in this dataset comes out at 0.0 meV/atom. The size of the total moment is 0.33 μB per formula unit.


Entry 5:
A plane-wave DFT calculation with GGA-PBE was carried out for an optimized crystal structure of PaCo3Ge2.

Cell: 3.9053 7.8308 6.8965 Å, 115.84 90.00 104.44°
Closest atoms and distances in Å follow each position.
Fractional positions:
Co: 0.9676 0.9352 0.6257  3 Ge 2.29-2.38, 1 Co 2.35
Co: 0.3134 0.6267 0.5553  4 Ge 2.32-2.54, 1 Co 2.50
Co: 0.0324 0.0648 0.3743  3 Ge 2.29-2.38, 1 Co 2.35
Co: 0.6866 0.3733 0.4447  4 Ge 2.32-2.54, 1 Co 2.50
Co: 0.5892 0.1783 0.6568  3 Ge 2.34-2.43, 4 Co 2.50-2.62
Co: 0.4108 0.8217 0.3432  3 Ge 2.34-2.43, 4 Co 2.50-2.62
Pa: 0.1504 0.3009 0.0794  7 Ge 2.97-3.12, 7 Co 3.04-3.28
Pa: 0.8496 0.6991 0.9206  7 Ge 2.97-3.12, 7 Co 3.04-3.28
Ge: 0.5215 0.0430 0.1917  4 Co 2.29-2.34, 1 Ge 2.42
Ge: 0.8103 0.6205 0.3162  6 Co 2.38-2.54
Ge: 0.4785 0.9570 0.8083  4 Co 2.29-2.34, 1 Ge 2.42
Ge: 0.1897 0.3795 0.6838  6 Co 2.38-2.54

Calculated values
Its total energy is -7.0144 eV/atom. The space group is C2/m (12). For the density of states at the Fermi level, the calculation gives 12.03 states/eV per cell. For the energy of formation, the calculation gives -340 meV/atom. The energy above the most stable polymorph in this dataset comes out at 113.3 meV/atom. The size of the total moment is 2.35 μB per formula unit.


Entry 6:
A plane-wave DFT calculation with GGA-PBE was carried out for an optimized crystal structure of PaCo4Ge.

Cell: 4.5426 4.5426 9.8142 Å, 103.38 103.38 90.00°
Closest atoms and distances in Å follow each position.
Fractional positions:
Co: 0.6087 0.8628 0.2173  4 Co 2.23-2.35, 1 Ge 2.32
Co: 0.1413 0.3872 0.2827  4 Co 2.23-2.35, 1 Ge 2.32
Co: 0.6128 0.8587 0.7173  4 Co 2.23-2.35, 1 Ge 2.32
Co: 0.6087 0.3545 0.2173  4 Co 2.23-2.35, 1 Ge 2.32
Co: 0.1045 0.8587 0.7173  4 Co 2.23-2.35, 1 Ge 2.32
Co: 0.6455 0.3913 0.7827  4 Co 2.23-2.35, 1 Ge 2.32
Co: 0.1372 0.3913 0.7827  4 Co 2.23-2.35, 1 Ge 2.32
Co: 0.1413 0.8955 0.2827  4 Co 2.23-2.35, 1 Ge 2.32
Ge: 0.2500 0.7500 0.5000  4 Co 2.32
Ge: 0.5000 0.5000 0.0000  4 Co 2.32
Pa: 0.7500 0.2500 0.5000  4 Co 2.85
Pa: 0.0000 0.0000 0.0000  4 Co 2.85

Calculated values
Its total energy is -6.9225 eV/atom. The space group is I4_1/amd (141). For the density of states at the Fermi level, the calculation gives 17.77 states/eV per cell. For the energy of formation, the calculation gives 167 meV/atom. The energy above the most stable polymorph in this dataset comes out at 375.5 meV/atom. The size of the total moment is 4.95 μB per formula unit.


Entry 7:
A plane-wave DFT calculation with GGA-PBE was carried out for an optimized crystal structure of PaCo3Ge2.

Cell: 3.8200 8.0668 9.2668 Å, 106.17 90.00 103.70°
Closest atoms and distances in Å follow each position.
Fractional positions:
Co: 0.6158 0.2316 0.1884  4 Ge 2.35-2.50, 1 Co 2.59
Co: 0.6760 0.3519 0.9555  4 Ge 2.34-2.42, 1 Co 2.59
Co: 0.3240 0.6481 0.0445  4 Ge 2.34-2.42, 1 Co 2.59
Co: 0.5000 0.0000 0.5000  4 Ge 2.36-2.40
Co: 0.2170 0.4340 0.3888  4 Ge 2.31-2.42, 1 Co 2.53
Co: 0.0493 0.0986 0.3356  4 Ge 2.37-2.43, 1 Co 2.53
Co: 0.9507 0.9014 0.6644  4 Ge 2.37-2.43, 1 Co 2.53
Co: 0.7830 0.5661 0.6112  4 Ge 2.31-2.42, 1 Co 2.53
Co: 0.3842 0.7684 0.8116  4 Ge 2.35-2.50, 1 Co 2.59
Ge: 0.4650 0.9300 0.2300  5 Co 2.37-2.50
Ge: 0.5350 0.0700 0.7700  5 Co 2.37-2.50
Ge: 0.6394 0.2789 0.4508  7 Co 2.31-2.43
Ge: 0.3606 0.7211 0.5492  7 Co 2.31-2.43
Ge: 0.1944 0.3888 0.1226  6 Co 2.34-2.44
Ge: 0.8056 0.6112 0.8774  6 Co 2.34-2.44
Pa: 0.1643 0.3286 0.7067  7 Co 2.96-3.30, 6 Ge 2.96-3.01
Pa: 0.8357 0.6714 0.2933  7 Co 2.96-3.30, 6 Ge 2.96-3.01
Pa: 0.0000 0.0000 0.0000  6 Co 2.86-2.98, 6 Ge 2.93-3.03

Calculated values
Its total energy is -7.1276 eV/atom. The space group is C2/m (12). For the density of states at the Fermi level, the calculation gives 12.24 states/eV per cell. For the energy of formation, the calculation gives -453 meV/atom. The energy above the most stable polymorph in this dataset comes out at 0.0 meV/atom. The size of the total moment is 0.00 μB per formula unit.


Entry 8:
A plane-wave DFT calculation with GGA-PBE was carried out for an optimized crystal structure of Pa2Co3Ge.

Cell: 5.7417 5.7417 7.9286 Å, 116.99 116.99 75.33°
Closest atoms and distances in Å follow each position.
Fractional positions:
Co: 0.1378 0.1378 0.2756  1 Ge 2.37, 2 Pa 2.46, 2 Co 2.48
Co: 0.8622 0.8622 0.7244  1 Ge 2.37, 2 Pa 2.46, 2 Co 2.48
Co: 0.6349 0.6349 0.8041  1 Ge 2.37, 2 Co 2.48-2.55, 2 Pa 2.65
Co: 0.1691 0.1691 0.8041  1 Ge 2.37, 2 Co 2.48-2.55, 2 Pa 2.65
Co: 0.3651 0.3651 0.1959  1 Ge 2.37, 2 Co 2.48-2.55, 2 Pa 2.65
Co: 0.8309 0.8309 0.1959  1 Ge 2.37, 2 Co 2.48-2.55, 2 Pa 2.65
Ge: 0.3199 0.3199 0.6397  3 Co 2.37
Ge: 0.6801 0.6801 0.3603  3 Co 2.37
Pa: 0.7594 0.2406 0.0000  2 Co 2.46
Pa: 0.2500 0.7500 0.5000  4 Co 2.65
Pa: 0.2406 0.7594 0.0000  2 Co 2.46
Pa: 0.7500 0.2500 0.5000  4 Co 2.65

Calculated values
Its total energy is -7.8459 eV/atom. The space group is Fmmm (69). For the density of states at the Fermi level, the calculation gives 14.79 states/eV per cell. For the energy of formation, the calculation gives -358 meV/atom. The size of the total moment is 0.00 μB per formula unit.


Entry 9:
A plane-wave DFT calculation with GGA-PBE was carried out for an optimized crystal structure of Pa3Co2Ge2.

Cell: 4.2270 3.7644 9.1274 Å, 101.90 103.39 90.00°
Closest atoms and distances in Å follow each position.
Fractional positions:
Co: 0.5707 0.5707 0.1413  2 Ge 2.42, 1 Co 2.45, 2 Pa 2.69
Co: 0.4293 0.4293 0.8587  2 Ge 2.42, 1 Co 2.45, 2 Pa 2.69
Ge: 0.1389 0.6389 0.2778  2 Co 2.42
Ge: 0.8611 0.3611 0.7222  2 Co 2.42
Pa: 0.0000 0.0000 0.0000  4 Ge 3.06, 8 Co 3.08
Pa: 0.6816 0.1816 0.3633  2 Co 2.69, 4 Ge 2.93
Pa: 0.3184 0.8184 0.6367  2 Co 2.69, 4 Ge 2.93

Calculated values
Its total energy is -7.8613 eV/atom. The space group is Immm (71). For the density of states at the Fermi level, the calculation gives 9.11 states/eV per cell. For the energy of formation, the calculation gives -442 meV/atom. The size of the total moment is 0.00 μB per formula unit.


Entry 10:
A plane-wave DFT calculation with GGA-PBE was carried out for an optimized crystal structure of Pa3Co2Ge3.

Cell: 4.1342 5.4946 14.2618 Å, 90.00 90.00 112.10°
Closest atoms and distances in Å follow each position.
Fractional positions:
Ge: 0.3729 0.7459 0.5395  3 Co 2.43-2.69
Ge: 0.6271 0.2541 0.4605  3 Co 2.43-2.69
Ge: 0.6523 0.3045 0.7500  2 Co 2.47
Ge: 0.3729 0.7459 0.9605  3 Co 2.43-2.69
Ge: 0.6271 0.2541 0.0395  3 Co 2.43-2.69
Ge: 0.3477 0.6955 0.2500  2 Co 2.47
Pa: 0.3631 0.7263 0.7500  5 Ge 2.94-3.00, 4 Co 2.98
Pa: 0.0829 0.1659 0.6100  7 Ge 2.96-3.14, 3 Co 2.96-2.97
Pa: 0.6369 0.2737 0.2500  5 Ge 2.94-3.00, 4 Co 2.98
Pa: 0.9171 0.8341 0.1100  7 Ge 2.96-3.14, 3 Co 2.96-2.97
Pa: 0.9171 0.8341 0.3900  7 Ge 2.96-3.14, 3 Co 2.96-2.97
Pa: 0.0829 0.1659 0.8900  7 Ge 2.96-3.14, 3 Co 2.96-2.97
Co: 0.2082 0.4164 0.3917  4 Ge 2.43-2.69
Co: 0.2082 0.4164 0.1083  4 Ge 2.43-2.69
Co: 0.7918 0.5836 0.8917  4 Ge 2.43-2.69
Co: 0.7918 0.5836 0.6083  4 Ge 2.43-2.69

Calculated values
Its total energy is -7.6170 eV/atom. The space group is Cmcm (63). For the density of states at the Fermi level, the calculation gives 18.78 states/eV per cell. For the energy of formation, the calculation gives -548 meV/atom. The energy above the most stable polymorph in this dataset comes out at 0.0 meV/atom. The size of the total moment is 0.00 μB per formula unit.


Entry 11:
A plane-wave DFT calculation with GGA-PBE was carried out for an optimized crystal structure of Pa2CoGe.

Cell: 3.6248 3.6248 6.0414 Å, 90.00 90.00 90.00°
Closest atoms and distances in Å follow each position.
Fractional positions:
Co: 0.5000 0.5000 0.0000  8 Pa 2.95, 2 Ge 3.02
Pa: 0.0000 0.0000 0.2420  2 Pa 2.92-3.12, 4 Co 2.95, 4 Ge 3.00
Pa: 0.0000 0.0000 0.7580  2 Pa 2.92-3.12, 4 Co 2.95, 4 Ge 3.00
Ge: 0.5000 0.5000 0.5000  8 Pa 3.00, 2 Co 3.02

Calculated values
Its total energy is -7.9108 eV/atom. The space group is P4/mmm (123). For the density of states at the Fermi level, the calculation gives 7.31 states/eV per cell. For the energy of formation, the calculation gives -232 meV/atom. The energy above the most stable polymorph in this dataset comes out at 217.2 meV/atom. The size of the total moment is 0.00 μB per formula unit.


Entry 12:
A plane-wave DFT calculation with GGA-PBE was carried out for an optimized crystal structure of PaCo5Ge2.

Cell: 3.6021 5.9926 5.9926 Å, 65.57 72.51 72.51°
Closest atoms and distances in Å follow each position.
Fractional positions:
Co: 0.6326 0.5615 0.1732  3 Ge 2.30-2.43, 4 Co 2.50-2.53
Co: 0.0000 0.5000 0.5000  2 Ge 2.29, 8 Co 2.53
Co: 0.3674 0.4385 0.8268  3 Ge 2.30-2.43, 4 Co 2.50-2.53
Co: 0.3674 0.8268 0.4385  3 Ge 2.30-2.43, 4 Co 2.50-2.53
Co: 0.6326 0.1732 0.5615  3 Ge 2.30-2.43, 4 Co 2.50-2.53
Ge: 0.2429 0.2571 0.2571  7 Co 2.29-2.43
Ge: 0.7571 0.7429 0.7429  7 Co 2.29-2.43
Pa: 0.0000 0.0000 0.0000  10 Co 2.96-3.25, 4 Ge 3.02

Calculated values
Its total energy is -7.0337 eV/atom. The space group is Immm (71). For the density of states at the Fermi level, the calculation gives 10.02 states/eV per cell. For the energy of formation, the calculation gives -251 meV/atom. The size of the total moment is 0.95 μB per formula unit.